(1)
The following is a GGA-PBE calculation of LiTaNi2 after structural relaxation, from Alexandria via LeMat-Bulk.

```
4
Lattice="-1.693 1.923 3.905 1.693 -1.923 3.905 1.693 1.923 -3.905" Properties=species:S:1:pos:R:3 pbc="T T T"
Li 0.000 0.000 0.000
Ta 0.000 1.923 1.894
Ni 1.693 0.000 1.848
Ni 0.000 0.000 3.846
```

- Formation energy from the elements: -0.0305 eV per atom

(2)
The following is a GGA-PBE calculation of Tb5HoBi6 after structural relaxation, from Alexandria via LeMat-Bulk.

```
12
Lattice="3.885 -6.727 0.000 3.885 6.727 0.000 -2.590 0.000 7.322" Properties=species:S:1:pos:R:3 pbc="T T T"
Tb 0.000 0.000 0.000
Tb 2.590 4.487 3.661
Tb 3.885 2.250 0.000
Tb 3.885 -2.250 0.000
Tb 2.590 -4.487 3.661
Ho 2.590 0.000 3.661
Bi 1.300 2.235 1.837
Bi 0.010 0.000 5.488
Bi 1.300 -2.235 1.837
Bi 3.879 2.235 5.485
Bi 5.169 0.000 1.834
Bi 3.879 -2.235 5.485
```

- Formation energy from the elements: -0.8723 eV per atom

(3)
The following is a GGA-PBE calculation of CaTm3Tl2 after structural relaxation, from Alexandria via LeMat-Bulk.

```
12
Lattice="8.073 -2.706 0.000 8.073 2.706 0.000 -4.392 0.000 8.131" Properties=species:S:1:pos:R:3 pbc="T T T"
Ca 1.378 0.000 1.466
Ca 10.375 0.000 6.665
Tm -2.162 0.000 5.778
Tm 4.938 0.000 0.115
Tm 4.209 0.000 3.770
Tm 7.544 0.000 4.361
Tm 6.815 0.000 8.016
Tm 13.915 0.000 2.353
Tl 0.960 0.000 4.962
Tl 4.080 0.000 6.707
Tl 7.673 0.000 1.424
Tl 10.793 0.000 3.169
```

- Energy relative to the lowest polymorph listed for this composition: 129 meV/atom
- Formation energy from the elements: -0.1384 eV per atom

(4)
The following is a GGA-PBE calculation of AcNdIn4 after structural relaxation, from Alexandria via LeMat-Bulk.

```
6
Lattice="-2.423 3.887 4.666 2.423 -3.887 4.666 2.423 3.887 -4.666" Properties=species:S:1:pos:R:3 pbc="T T T"
Ac 0.000 0.000 0.000
Nd 0.000 3.887 1.111
In 2.423 -1.581 2.012
In 2.423 2.373 -0.973
In 2.423 1.581 2.012
In 0.000 1.514 3.693
```

- Energy relative to the lowest polymorph listed for this composition: 0 meV/atom
- Formation energy from the elements: -0.4564 eV per atom

(5)
The following is a GGA-PBE calculation of Mo2P after structural relaxation, from Alexandria via LeMat-Bulk.

```
6
Lattice="4.625 -1.609 0.000 4.625 1.609 0.000 -1.317 0.000 5.951" Properties=species:S:1:pos:R:3 pbc="T T T"
Mo 0.000 0.000 0.000
Mo 0.097 0.000 3.224
Mo 2.608 0.000 3.873
Mo 6.567 0.000 1.555
P 3.765 0.000 1.572
P 5.372 0.000 5.061
```

- Energy relative to the lowest polymorph listed for this composition: 80 meV/atom
- Formation energy from the elements: -0.3034 eV per atom

(6)
The following is a GGA-PBE calculation of HfThFe2H8 after structural relaxation, from Alexandria via LeMat-Bulk.

```
12
Lattice="2.236 1.291 5.994 -2.236 1.291 5.994 0.000 -2.582 5.994" Properties=species:S:1:pos:R:3 pbc="T T T"
Hf 0.000 0.000 0.000
Th 0.000 0.000 8.991
Fe 0.000 0.000 4.881
Fe 0.000 0.000 13.102
H -1.257 -0.056 7.093
H 0.000 0.000 3.313
H -0.580 -1.117 10.889
H 0.677 -1.061 7.093
H -0.677 1.061 10.889
H 0.580 1.117 7.093
H 0.000 0.000 14.669
H 1.257 0.056 10.889
```

(7)
The following is a GGA-PBE calculation of IrPt2Br after structural relaxation, from Alexandria via LeMat-Bulk.

```
4
Lattice="2.865 -4.075 0.000 2.865 4.075 0.000 0.000 0.000 2.831" Properties=species:S:1:pos:R:3 pbc="T T T"
Ir 0.000 0.000 0.000
Pt 1.432 2.037 1.415
Pt 1.432 -2.037 1.415
Br 2.865 0.000 0.000
```

- Energy relative to the lowest polymorph listed for this composition: 402 meV/atom

(8)
The following is a GGA-PBE calculation of KCuW2 after structural relaxation, from Alexandria via LeMat-Bulk.

```
4
Lattice="1.503 -2.233 0.000 1.503 2.233 0.000 0.000 0.000 10.787" Properties=species:S:1:pos:R:3 pbc="T T T"
K 0.000 0.000 0.000
Cu 0.000 0.000 5.393
W 1.503 0.000 3.161
W 1.503 0.000 7.626
```

- Energy relative to the lowest polymorph listed for this composition: 281 meV/atom
- Formation energy from the elements: 1.0302 eV per atom

(9)
The following is a GGA-PBE calculation of Dy6Tl2Pt after structural relaxation, from Alexandria via LeMat-Bulk.

```
18
Lattice="6.143 0.000 0.000 0.000 8.586 0.000 -5.795 0.000 9.926" Properties=species:S:1:pos:R:3 pbc="T T T"
Dy -2.213 1.549 4.412
Dy -5.111 2.744 9.375
Dy -0.520 5.812 4.429
Dy -3.418 7.067 9.392
Dy 0.755 0.247 2.646
Dy -2.143 4.046 7.609
Dy 2.490 4.540 2.317
Dy -0.408 8.339 7.279
Dy 3.765 1.519 0.533
Dy 0.867 2.774 5.496
Dy 5.458 5.842 0.551
Dy 2.561 7.037 5.514
Tl -3.294 1.051 7.440
Tl -0.396 3.241 2.477
Tl 0.743 5.344 7.449
Tl 3.641 7.534 2.486
Pt 0.000 0.000 0.000
Pt -2.898 4.293 4.963
```

- Energy relative to the lowest polymorph listed for this composition: 102 meV/atom
- Formation energy from the elements: -0.3793 eV per atom

(10)
The following is a GGA-PBE calculation of Cs2SmGeSe4 after structural relaxation, from Alexandria via LeMat-Bulk.

```
16
Lattice="0.000 7.579 13.320 3.423 0.000 13.320 3.423 7.579 0.000" Properties=species:S:1:pos:R:3 pbc="T T T"
Cs 2.567 5.685 1.504
Cs 4.279 9.474 8.164
Cs 2.567 5.685 18.476
Cs 4.279 9.474 25.135
Sm 0.856 1.895 3.330
Sm 5.991 13.264 23.309
Ge 2.567 5.685 9.990
Ge 4.279 9.474 16.650
Se 2.728 3.386 4.709
Se 4.118 7.175 11.369
Se 2.406 7.984 4.709
Se 2.406 3.386 15.270
Se 4.440 11.773 11.369
Se 4.440 7.175 21.930
Se 2.728 7.984 15.270
Se 4.118 11.773 21.930
```

(11)
The following is a GGA-PBE calculation of HoInCu after structural relaxation, from Alexandria via LeMat-Bulk.

```
6
Lattice="3.987 -2.355 0.000 3.987 2.355 0.000 -2.747 0.000 7.176" Properties=species:S:1:pos:R:3 pbc="T T T"
Ho 1.280 0.000 1.563
Ho 3.946 0.000 5.613
In -1.373 0.000 3.588
In 3.987 0.000 0.000
Cu 1.284 0.000 4.401
Cu 3.942 0.000 2.775
```

- Formation energy from the elements: -0.2573 eV per atom

(12)
The following is a GGA-PBE calculation of NaCaC2O6 after structural relaxation, from Alexandria via LeMat-Bulk.

```
20
Lattice="4.129 -5.108 0.000 4.129 5.108 0.000 -2.178 0.000 6.399" Properties=species:S:1:pos:R:3 pbc="T T T"
Na 2.496 3.619 4.799
Na 3.585 -3.619 1.600
Ca 3.585 1.775 1.600
Ca 2.496 -1.775 4.799
C 0.490 0.945 4.828
C 1.579 -0.945 1.629
C 4.501 0.945 4.770
C 5.590 -0.945 1.571
O 2.282 3.614 2.396
O 1.147 1.692 5.652
O 1.730 0.333 1.645
O 4.888 3.614 0.803
O 0.641 -0.333 4.844
O 3.845 1.692 3.947
O 2.236 -1.692 2.453
O 5.440 0.333 1.555
O 1.193 -3.614 5.596
O 4.351 -0.333 4.754
O 4.934 -1.692 0.747
O 3.799 -3.614 4.003
```

| no. | energy (eV/atom) |
| --- | --- |
| 1 | -6.36 |
| 2 | -5.12 |
| 3 | -3.50 |
| 4 | -3.76 |
| 5 | -9.33 |
| 6 | -5.27 |
| 7 | -4.88 |
| 8 | -6.74 |
| 9 | -4.64 |
| 10 | -4.18 |
| 11 | -4.06 |
| 12 | -6.96 |